No. 1
A relaxed structure of La2YFe. Source: Alexandria, functional PBE.

energy relative to the lowest polymorph listed for this composition = 55.0 meV per atom
SG = Cmmm, No. 65
size of the total moment = 0.000 μB per formula unit
ΔH_f (0 K) = 0.130 eV/atom

Cell lengths 3.883, 6.453, 6.454 Å; angles 51.91, 90.00, 90.00 degrees
Fractional coordinates of all 4 atoms:
Fe: 0.500 0.750 0.750
La: 0.000 0.902 0.902
La: 0.000 0.598 0.598
Y: 0.500 0.250 0.250



No. 2
A relaxed structure of LaYFe2. Source: Alexandria, functional PBE.

SG = I-42d, No. 122
size of the total moment = 2.329 μB per formula unit
ΔH_f (0 K) = 0.591 eV/atom

Cell lengths 7.421, 7.421, 6.088 Å; angles 52.45, 52.45, 90.00 degrees
Last column: magnetic moment on the atom in μB.
Fractional coordinates of all 8 atoms:
Y: 0.500 0.500 0.000  -0.39
Y: 0.250 0.750 0.500  -0.39
Fe: 0.633 0.125 0.250  1.74
Fe: 0.117 0.625 0.250  1.76
Fe: 0.375 0.367 0.750  1.77
Fe: 0.875 0.883 0.750  1.79
La: 0.000 0.000 0.000  -0.33
La: 0.750 0.250 0.500  -0.33



No. 3
A relaxed structure of La2YFe. Source: Alexandria, functional PBE.

energy relative to the lowest polymorph listed for this composition = 385.3 meV per atom
SG = C2/m, No. 12
size of the total moment = 2.040 μB per formula unit
ΔH_f (0 K) = 0.460 eV/atom

Cell lengths 6.424, 6.424, 3.523 Å; angles 76.93, 76.93, 120.15 degrees
Last column: magnetic moment on the atom in μB.
Fractional coordinates of all 4 atoms:
Fe: 0.000 0.500 0.500  -2.82
La: 0.000 0.000 0.000  0.12
La: 0.500 0.500 0.000  0.12
Y: 0.500 0.000 0.500  0.21



No. 4
A relaxed structure of La2YFe. Source: Alexandria, functional PBE.

energy relative to the lowest polymorph listed for this composition = 424.9 meV per atom
SG = Fm-3m, No. 225
size of the total moment = 0.000 μB per formula unit
ΔH_f (0 K) = 0.500 eV/atom

Cell lengths 5.316, 5.316, 5.316 Å; angles 60.00, 60.00, 60.00 degrees
Fractional coordinates of all 4 atoms:
Y: 0.500 0.500 0.500
Fe: 0.000 0.000 0.000
La: 0.250 0.250 0.250
La: 0.750 0.750 0.750



no.,calculated density (g/cm³)
1,5.5
2,6.6
3,6.3
4,6.6